This record from Alexandria via LeMat-Bulk describes a geometry-optimized Nd3TlNi2 structure. The functional is GGA-PBE.

Calculated values
Density   8.3 g cm⁻³
Formation energy from the elements   -289 meV/atom

Lattice parameters (Å, degrees): 4.3626 9.4613 7.3480 90.00 90.00 90.00
Space group Pmc2_1 (No. 26)
Unique sites:
Nd 0.0000 0.0570 0.0000 x2
Nd 0.5000 0.2513 0.3892 x2
Nd 0.5000 0.3366 0.8609 x2
Tl 0.0000 0.4817 0.1306 x2
Ni 0.0000 0.2122 0.6503 x2
Ni 0.5000 0.0533 0.7158 x2